HfURe2: optimized geometry, PBE-GGA.

Computed properties:
Electronic total energy, hartree per atom: -0.42798
Space-group type: P4/mmm
Distance to the lowest polymorph of the same formula, meV/atom: 0
D(E_F), states/eV/atom: 1.082
Energy of formation, eV/atom: -0.111

a b c (Å): 3.2733 4.7442 4.7442
angles (deg): 90.00 90.00 90.00
Closest atoms and distances in Å follow each position.
Fractional coordinates of all 4 atoms:
Hf 0.5000 0.5000 0.5000  8 Re 2.88
Re 0.0000 0.0000 0.5000  4 Hf 2.88, 4 U 2.88
Re 0.0000 0.5000 0.0000  4 Hf 2.88, 4 U 2.88
U 0.5000 0.0000 0.0000  8 Re 2.88


ZrMnAs2: optimized geometry, PBE-GGA.

Computed properties:
Electronic total energy, hartree per atom: -0.26339
Space-group type: P4/mmm
D(E_F), states/eV/atom: 0.652
Energy of formation, eV/atom: -0.413

a b c (Å): 4.5209 4.5209 3.4044
angles (deg): 89.98 89.98 90.06
Closest atoms and distances in Å follow each position.
Fractional coordinates of all 4 atoms:
As 0.5000 0.5000 0.0000  4 Zr 2.83, 4 Mn 2.83
As 0.0000 0.0000 0.0000  4 Mn 2.83, 4 Zr 2.83
Mn 0.5000 0.0000 0.5000  8 As 2.83
Zr 0.0000 0.5000 0.5000  8 As 2.83


BaScW: optimized geometry, PBE-GGA.

Computed properties:
Electronic total energy, hartree per atom: -0.20775
Space-group type: F-43m
Distance to the lowest polymorph of the same formula, meV/atom: 561
D(E_F), states/eV/atom: 2.299
Energy of formation, eV/atom: 1.416

a b c (Å): 4.9668 4.9668 4.9668
angles (deg): 60.00 60.00 60.00
Closest atoms and distances in Å follow each position.
Fractional coordinates of all 3 atoms:
Ba 0.0000 0.0000 0.0000  4 W 3.04
W 0.7500 0.7500 0.7500  4 Sc 3.04, 4 Ba 3.04
Sc 0.5000 0.5000 0.5000  4 W 3.04


Pm2Zn3Cu4: optimized geometry, PBE-GGA.

Computed properties:
Electronic total energy, hartree per atom: -0.12980
Space-group type: Fmmm
Distance to the lowest polymorph of the same formula, meV/atom: 0
D(E_F), states/eV/atom: 0.444
Energy of formation, eV/atom: -0.231

a b c (Å): 5.0863 5.2336 7.1706
angles (deg): 80.08 69.23 60.93
Closest atoms and distances in Å follow each position.
Fractional coordinates of all 9 atoms:
Zn 0.5000 0.5000 0.0000  4 Zn 2.54-2.62, 4 Cu 2.69
Zn 0.0000 0.5000 0.0000  4 Zn 2.54-2.62, 4 Cu 2.69
Zn 0.0000 0.0000 0.0000  4 Zn 2.62, 4 Cu 2.79
Pm 0.3583 0.0000 0.2834  8 Cu 2.98-3.04, 6 Zn 3.17-3.23
Pm 0.6417 0.0000 0.7166  8 Cu 2.98-3.04, 6 Zn 3.17-3.23
Cu 0.6534 0.3544 0.3389  1 Cu 2.54, 3 Zn 2.69-2.79
Cu 0.9922 0.3544 0.6611  1 Cu 2.54, 3 Zn 2.69-2.79
Cu 0.0078 0.6456 0.3389  1 Cu 2.54, 3 Zn 2.69-2.79
Cu 0.3466 0.6456 0.6611  1 Cu 2.54, 3 Zn 2.69-2.79


Hf2ZrTcSb: optimized geometry, PBE-GGA.

Computed properties:
Electronic total energy, hartree per atom: -0.26650
Space-group type: P4/mmm
D(E_F), states/eV/atom: 0.776
ΔE_f (raw), eV per atom: 1.337

a b c (Å): 5.1635 5.1931 5.1635
angles (deg): 90.00 90.00 90.00
Closest atoms and distances in Å follow each position.
Fractional coordinates of all 5 atoms:
Hf 0.5000 0.0000 0.0000  2 Sb 2.58
Hf 0.0000 0.0000 0.5000  2 Sb 2.58
Tc 0.5000 0.5000 0.5000  4 Zr 3.65, 8 Hf 3.66
Zr 0.0000 0.5000 0.0000  2 Sb 2.60
Sb 0.0000 0.0000 0.0000  4 Hf 2.58, 2 Zr 2.60


TlZn2Re: optimized geometry, PBE-GGA.

Computed properties:
Electronic total energy, hartree per atom: -0.13006
Space-group type: I-42d
Distance to the lowest polymorph of the same formula, meV/atom: 329
D(E_F), states/eV/atom: 0.808
Energy of formation, eV/atom: 0.801

a b c (Å): 4.0466 4.0466 9.8219
angles (deg): 78.11 78.11 90.00
Closest atoms and distances in Å follow each position.
Fractional coordinates of all 8 atoms:
Re 0.5000 0.5000 0.0000  4 Zn 2.65, 4 Tl 2.86
Re 0.2500 0.7500 0.5000  4 Zn 2.65, 4 Tl 2.86
Tl 0.0000 0.0000 0.0000  4 Re 2.86, 4 Zn 2.87
Tl 0.7500 0.2500 0.5000  4 Re 2.86, 4 Zn 2.87
Zn 0.1995 0.6250 0.2500  2 Zn 2.47, 2 Re 2.65
Zn 0.3750 0.4495 0.7500  2 Zn 2.47, 2 Re 2.65
Zn 0.8750 0.8005 0.7500  2 Zn 2.47, 2 Re 2.65
Zn 0.5505 0.1250 0.2500  2 Zn 2.47, 2 Re 2.65


Ba2Na4Cd: optimized geometry, PBE-GGA.

Computed properties:
Electronic total energy, hartree per atom: -0.04890
Space-group type: I4/mmm
D(E_F), states/eV/atom: 0.666
Energy of formation, eV/atom: 0.103

a b c (Å): 5.8128 5.8128 10.5177
angles (deg): 73.96 73.96 90.00
Closest atoms and distances in Å follow each position.
Fractional coordinates of all 7 atoms:
Na 0.0000 0.5000 0.0000  2 Cd 2.91
Na 0.5000 0.0000 0.0000  2 Cd 2.91
Na 0.8429 0.8429 0.3141  1 Cd 3.04
Na 0.1571 0.1571 0.6859  1 Cd 3.04
Ba 0.6432 0.6432 0.7135  9 Na 3.87-4.12
Ba 0.3568 0.3568 0.2865  9 Na 3.87-4.12
Cd 0.0000 0.0000 0.0000  6 Na 2.91-3.04


Tb3Y4Tm8: optimized geometry, PBE-GGA.

Computed properties:
Electronic total energy, hartree per atom: -0.18004
Space-group type: R-3m
Distance to the lowest polymorph of the same formula, meV/atom: 0
D(E_F), states/eV/atom: 1.532
Energy of formation, eV/atom: 0.136

a b c (Å): 6.8700 6.8700 12.3211
angles (deg): 73.81 73.81 60.00
Closest atoms and distances in Å follow each position.
Fractional coordinates of all 15 atoms:
Tb 0.0000 0.0000 0.5000  6 Tm 3.38-3.51, 2 Y 3.44, 4 Tb 3.44
Tb 0.5000 0.0000 0.5000  6 Tm 3.38-3.51, 4 Tb 3.44, 2 Y 3.44
Tb 0.0000 0.5000 0.5000  6 Tm 3.38-3.51, 4 Tb 3.44, 2 Y 3.44
Y 0.0000 0.0000 0.0000  6 Tm 3.53
Y 0.3362 0.3362 0.9913  4 Tm 3.20-3.46
Y 0.6638 0.6638 0.0087  4 Tm 3.20-3.46
Y 0.5000 0.5000 0.5000  6 Tb 3.44, 6 Tm 3.52
Tm 0.7505 0.2480 0.2510  6 Tm 3.42-3.45, 3 Y 3.46-3.53, 2 Tb 3.51
Tm 0.7505 0.7505 0.2510  6 Tm 3.42-3.45, 3 Y 3.46-3.53, 2 Tb 3.51
Tm 0.2495 0.2495 0.7490  6 Tm 3.42-3.45, 3 Y 3.46-3.53, 2 Tb 3.51
Tm 0.7553 0.7553 0.7341  1 Y 3.20, 3 Tb 3.38, 6 Tm 3.44
Tm 0.2495 0.7520 0.7490  6 Tm 3.42-3.45, 3 Y 3.46-3.53, 2 Tb 3.51
Tm 0.7520 0.2495 0.7490  6 Tm 3.42-3.45, 3 Y 3.46-3.53, 2 Tb 3.51
Tm 0.2447 0.2447 0.2659  1 Y 3.20, 3 Tb 3.38, 6 Tm 3.44
Tm 0.2480 0.7505 0.2510  6 Tm 3.42-3.45, 3 Y 3.46-3.53, 2 Tb 3.51


- Which of these has the lowest electronic total energy?
  HfURe2


Please write out number 5 again, unchanged.
Hf2ZrTcSb: optimized geometry, PBE-GGA.

Computed properties:
Electronic total energy, hartree per atom: -0.26650
Space-group type: P4/mmm
D(E_F), states/eV/atom: 0.776
ΔE_f (raw), eV per atom: 1.337

a b c (Å): 5.1635 5.1931 5.1635
angles (deg): 90.00 90.00 90.00
Closest atoms and distances in Å follow each position.
Fractional coordinates of all 5 atoms:
Hf 0.5000 0.0000 0.0000  2 Sb 2.58
Hf 0.0000 0.0000 0.5000  2 Sb 2.58
Tc 0.5000 0.5000 0.5000  4 Zr 3.65, 8 Hf 3.66
Zr 0.0000 0.5000 0.0000  2 Sb 2.60
Sb 0.0000 0.0000 0.0000  4 Hf 2.58, 2 Zr 2.60